No. 1
The following is a SCAN calculation of a crystal of Ni4Pt5 relaxed with PBEsol, from the Alexandria database.

Calculated values
Energy ... -416.84 eV per cell
E_form ... -0.1309 eV/atom
Energy relative to the lowest polymorph listed for this composition ... 0 meV/atom
Density of states at the Fermi level ... 5.0 states/eV/f.u.
Space group ... I4/mmm (139)

a = 3.795 Å, b = 5.902 Å, c = 5.902 Å
α = 84.07°, β = 71.25°, γ = 71.25°
Last column: magnetic moment on the atom in μB.
Sites, in units of the cell vectors:
Pt1 0.330 0.341 0.000  0.16
Pt2 0.000 0.000 0.000  0.14
Pt3 0.330 0.000 0.341  0.16
Pt4 0.670 0.659 0.000  0.16
Pt5 0.670 0.000 0.659  0.16
Ni1 0.343 0.657 0.657  1.10
Ni2 0.000 0.343 0.657  1.10
Ni3 0.657 0.343 0.343  1.10
Ni4 0.000 0.657 0.343  1.10

=====

No. 2
The following is a SCAN calculation of a crystal of Ni3Pt2 relaxed with PBEsol, from the Alexandria database.

Calculated values
Energy ... -379.09 eV per cell
E_form ... -0.1274 eV/atom
Energy relative to the lowest polymorph listed for this composition ... 0 meV/atom
Density of states at the Fermi level ... 2.7 states/eV/f.u.
Space group ... Pm (6)

a = 2.654 Å, b = 6.304 Å, c = 7.660 Å
α = 104.17°, β = 90.00°, γ = 90.00°
Last column: magnetic moment on the atom in μB.
Sites, in units of the cell vectors:
Ni1 0.000 0.979 0.989  0.99
Ni2 0.000 0.605 0.808  1.02
Ni3 0.000 0.421 0.205  0.99
Ni4 0.500 0.892 0.710  0.86
Ni5 0.000 0.802 0.391  1.09
Ni6 0.500 0.701 0.096  1.07
Pt1 0.500 0.300 0.917  0.25
Pt2 0.500 0.096 0.280  0.26
Pt3 0.500 0.519 0.502  0.29
Pt4 0.000 0.187 0.602  0.14

=====

No. 3
The following is a SCAN calculation of a crystal of NiPt relaxed with PBEsol, from the Alexandria database.

Calculated values
Energy ... -520.09 eV per cell
E_form ... -0.1575 eV/atom
Density of states at the Fermi level ... 1.1 states/eV/f.u.
Space group ... P2/m (10)

a = 4.579 Å, b = 5.311 Å, c = 6.386 Å
α = 90.00°, β = 90.48°, γ = 90.00°
Last column: magnetic moment on the atom in μB.
Sites, in units of the cell vectors:
Ni1 0.500 0.000 0.000  1.18
Ni2 0.832 0.500 0.674  0.90
Ni3 0.000 0.736 0.000  1.15
Ni4 0.168 0.500 0.326  0.90
Ni5 0.000 0.264 0.000  1.15
Ni6 0.500 0.500 0.000  1.14
Pt1 0.330 0.256 0.678  0.30
Pt2 0.832 0.000 0.684  0.29
Pt3 0.168 0.000 0.316  0.29
Pt4 0.670 0.744 0.322  0.30
Pt5 0.670 0.256 0.322  0.30
Pt6 0.330 0.744 0.678  0.30

=====

No. 4
The following is a SCAN calculation of a crystal of NiPt relaxed with PBEsol, from the Alexandria database.

Calculated values
Energy ... -519.63 eV per cell
E_form ... -0.1189 eV/atom
Density of states at the Fermi level ... 1.4 states/eV/f.u.
Space group ... P1 (1)

a = 4.572 Å, b = 5.886 Å, c = 6.435 Å
α = 111.18°, β = 90.43°, γ = 104.95°
Last column: magnetic moment on the atom in μB.
Sites, in units of the cell vectors:
Ni1 0.161 0.495 0.167  1.10
Ni2 0.912 0.244 0.409  1.04
Ni3 0.000 0.011 0.009  1.00
Ni4 0.594 0.251 0.086  1.09
Ni5 0.669 0.000 0.665  0.92
Ni6 0.749 0.753 0.250  1.11
Pt1 0.494 0.496 0.483  0.31
Pt2 0.073 0.747 0.577  0.30
Pt3 0.247 0.245 0.761  0.32
Pt4 0.333 0.997 0.329  0.27
Pt5 0.431 0.764 0.921  0.27
Pt6 0.836 0.499 0.845  0.29

=====

No. 5
The following is a SCAN calculation of a crystal of NiPt5 relaxed with PBEsol, from the Alexandria database.

Calculated values
Energy ... -367.39 eV per cell
E_form ... -0.0417 eV/atom
Density of states at the Fermi level ... 6.7 states/eV/f.u.
Space group ... P4/mmm (123)

a = 2.743 Å, b = 2.743 Å, c = 11.375 Å
α = 90.00°, β = 90.00°, γ = 90.00°
Last column: magnetic moment on the atom in μB.
Sites, in units of the cell vectors:
Pt1 0.000 0.000 0.650  0.42
Pt2 0.500 0.500 0.826  0.36
Pt3 0.500 0.500 0.174  0.36
Pt4 0.000 0.000 0.350  0.42
Pt5 0.000 0.000 0.000  0.45
Ni1 0.500 0.500 0.500  1.10

=====

No. 6
The following is a SCAN calculation of a crystal of Ni5Pt7 relaxed with PBEsol, from the Alexandria database.

Calculated values
Energy ... -573.65 eV per cell
E_form ... -0.1195 eV/atom
Energy relative to the lowest polymorph listed for this composition ... 29 meV/atom
Density of states at the Fermi level ... 8.4 states/eV/f.u.
Space group ... P-1 (2)

a = 4.618 Å, b = 5.291 Å, c = 7.018 Å
α = 111.90°, β = 90.60°, γ = 90.04°
Last column: magnetic moment on the atom in μB.
Sites, in units of the cell vectors:
Pt1 0.494 0.246 0.494  0.28
Pt2 0.832 0.414 0.834  0.34
Pt3 0.000 0.500 0.500  0.30
Pt4 0.168 0.586 0.166  0.34
Pt5 0.506 0.754 0.506  0.28
Pt6 0.669 0.847 0.158  0.35
Pt7 0.331 0.153 0.842  0.35
Ni1 0.000 0.000 0.500  0.84
Ni2 0.669 0.336 0.165  1.06
Ni3 0.162 0.082 0.164  1.18
Ni4 0.838 0.918 0.836  1.18
Ni5 0.331 0.664 0.835  1.06

=====

No. 7
The following is a SCAN calculation of a crystal of Ni3Pt2 relaxed with PBEsol, from the Alexandria database.

Calculated values
Energy ... -378.30 eV per cell
E_form ... -0.0486 eV/atom
Energy relative to the lowest polymorph listed for this composition ... 79 meV/atom
Density of states at the Fermi level ... 4.0 states/eV/f.u.
Space group ... Fdd2 (43)

a = 4.624 Å, b = 4.896 Å, c = 6.665 Å
α = 99.43°, β = 110.29°, γ = 61.82°
Last column: magnetic moment on the atom in μB.
Sites, in units of the cell vectors:
Pt1 0.899 0.052 0.603  0.33
Pt2 0.546 0.552 0.897  0.33
Pt3 0.201 0.448 0.103  0.33
Pt4 0.348 0.948 0.397  0.33
Ni1 0.786 0.429 0.304  0.99
Ni2 0.465 0.071 0.804  0.99
Ni3 0.055 0.000 0.000  0.91
Ni4 0.732 0.929 0.196  0.99
Ni5 0.911 0.571 0.696  0.99
Ni6 0.305 0.500 0.500  0.91

=====

No. 8
The following is a SCAN calculation of a crystal of NiPt3 relaxed with PBEsol, from the Alexandria database.

Calculated values
Energy ... -226.96 eV per cell
E_form ... -0.0523 eV/atom
Density of states at the Fermi level ... 3.3 states/eV/f.u.
Space group ... Imm2 (44)

a = 2.705 Å, b = 4.650 Å, c = 5.230 Å
α = 116.39°, β = 104.99°, γ = 90.00°
Last column: magnetic moment on the atom in μB.
Sites, in units of the cell vectors:
Pt1 0.255 0.592 0.511  0.25
Pt2 0.500 0.493 0.000  0.30
Pt3 0.745 0.082 0.489  0.25
Ni1 0.000 0.999 0.000  1.25

=====

No. 9
The following is a SCAN calculation of a crystal of NiPt relaxed with PBEsol, from the Alexandria database.

Calculated values
Energy ... -346.26 eV per cell
E_form ... -0.0994 eV/atom
Density of states at the Fermi level ... 1.7 states/eV/f.u.
Space group ... I4/mmm (139)

a = 3.747 Å, b = 3.747 Å, c = 7.794 Å
α = 103.91°, β = 103.91°, γ = 90.00°
Last column: magnetic moment on the atom in μB.
Sites, in units of the cell vectors:
Pt1 0.500 0.000 0.000  0.24
Pt2 0.000 0.500 0.000  0.24
Pt3 0.865 0.865 0.730  0.36
Pt4 0.135 0.135 0.270  0.36
Ni1 0.250 0.750 0.500  0.95
Ni2 0.750 0.250 0.500  0.95
Ni3 0.367 0.367 0.734  0.96
Ni4 0.633 0.633 0.266  0.96

=====

No. 10
The following is a SCAN calculation of a crystal of Ni3Pt relaxed with PBEsol, from the Alexandria database.

Calculated values
Energy ... -238.05 eV per cell
E_form ... -0.0782 eV/atom
Density of states at the Fermi level ... 4.3 states/eV/f.u.
Space group ... Pmmn (59)

a = 4.158 Å, b = 4.398 Å, c = 5.096 Å
α = 90.00°, β = 90.00°, γ = 90.00°
Last column: magnetic moment on the atom in μB.
Sites, in units of the cell vectors:
Ni1 0.000 0.164 0.250  0.91
Ni2 0.500 0.836 0.250  0.91
Ni3 0.000 0.164 0.750  0.91
Ni4 0.000 0.678 0.500  0.89
Ni5 0.500 0.322 0.000  0.89
Ni6 0.500 0.836 0.750  0.91
Pt1 0.000 0.664 0.000  0.39
Pt2 0.500 0.336 0.500  0.39

=====

No. 11
The following is a SCAN calculation of a crystal of Ni3Pt relaxed with PBEsol, from the Alexandria database.

Calculated values
Energy ... -118.93 eV per cell
E_form ... -0.0539 eV/atom
Density of states at the Fermi level ... 3.3 states/eV/f.u.
Space group ... Imm2 (44)

a = 2.609 Å, b = 4.356 Å, c = 4.850 Å
α = 116.69°, β = 105.60°, γ = 90.00°
Last column: magnetic moment on the atom in μB.
Sites, in units of the cell vectors:
Ni1 0.500 0.162 0.000  0.87
Ni2 0.246 0.253 0.492  0.90
Ni3 0.754 0.760 0.508  0.90
Pt1 0.000 0.659 0.000  0.30

=====

No. 12
The following is a SCAN calculation of a crystal of NiPt relaxed with PBEsol, from the Alexandria database.

Calculated values
Energy ... -86.75 eV per cell
E_form ... -0.1914 eV/atom
Density of states at the Fermi level ... 0.5 states/eV/f.u.
Space group ... R-3m (166)

a = 2.673 Å, b = 2.673 Å, c = 4.470 Å
α = 72.61°, β = 72.61°, γ = 60.00°
Last column: magnetic moment on the atom in μB.
Sites, in units of the cell vectors:
Ni1 0.000 0.000 0.000  1.10
Pt1 0.500 0.500 0.500  0.14